Entry from the Alexandria database: crystalline Dy2AlCu3Ge4 at its relaxed geometry (PBE).

Raw total energy (eV/atom): -4.8183
Density of states at the Fermi level (states/eV per atom): 0.356
Mass density (g/cm³): 7.9
Total moment (μB per cell): 0.00
SG: P-4m2, No. 115

Lattice parameters (Å, degrees): 4.0917 4.0917 10.5164 90.00 90.00 90.00
Positions (direct):
Dy1 0.5000 0.0000 0.2440
Dy2 0.0000 0.5000 0.7560
Cu1 0.5000 0.0000 0.8677
Cu2 0.0000 0.0000 0.5000
Cu3 0.0000 0.5000 0.1323
Ge1 0.0000 0.0000 0.0000
Ge2 0.5000 0.0000 0.6449
Ge3 0.5000 0.5000 0.0000
Ge4 0.0000 0.5000 0.3551
Al1 0.5000 0.5000 0.5000

---

Entry from the Alexandria database: crystalline Dy2AlCu4Ge3 at its relaxed geometry (PBE).

Raw total energy (eV/atom): -4.8196
Density of states at the Fermi level (states/eV per atom): 0.412
Mass density (g/cm³): 8.1
Total moment (μB per cell): 0.00
SG: P-4m2, No. 115

Lattice parameters (Å, degrees): 4.0562 4.0562 10.3081 90.00 90.00 90.00
Positions (direct):
Dy1 0.0000 0.5000 0.7599
Dy2 0.5000 0.0000 0.2401
Al1 0.5000 0.5000 0.5000
Cu1 0.5000 0.0000 0.6373
Cu2 0.0000 0.5000 0.3627
Cu3 0.0000 0.0000 0.0000
Cu4 0.5000 0.5000 0.0000
Ge1 0.5000 0.0000 0.8666
Ge2 0.0000 0.0000 0.5000
Ge3 0.0000 0.5000 0.1334

---

Entry from the Alexandria database: crystalline DyAlCuHg at its relaxed geometry (PBE).

Raw total energy (eV/atom): -3.4546
Density of states at the Fermi level (states/eV per atom): 0.488
Mass density (g/cm³): 9.6
Total moment (μB per cell): 0.00
SG: F-43m, No. 216

Lattice parameters (Å, degrees): 4.8010 4.8010 4.8010 60.00 60.00 60.00
Positions (direct):
Hg1 0.7500 0.7500 0.7500
Al1 0.5000 0.5000 0.5000
Dy1 0.0000 0.0000 0.0000
Cu1 0.2500 0.2500 0.2500